Entry from Alexandria: an optimized crystal structure of Pm5Tm2Sc (GGA-PBE).

Cell lengths 8.9431, 8.9431, 8.9431 Å; angles 118.63, 118.63, 92.40 degrees
With the nearest neighbours (Å) after each atom.
Positions (direct):
1 Pm 0.0000 0.0000 0.0000  2 Sc 3.10
2 Pm 0.0135 0.5135 0.1965  3 Pm 3.29-3.47, 3 Tm 3.34-3.39, 2 Sc 3.62
3 Pm 0.1830 0.9865 0.5000  3 Pm 3.29-3.47, 3 Tm 3.34-3.39, 2 Sc 3.62
4 Pm 0.3170 0.8170 0.8035  3 Pm 3.29-3.47, 3 Tm 3.34-3.39, 2 Sc 3.62
5 Pm 0.4865 0.6830 0.5000  3 Pm 3.29-3.47, 3 Tm 3.34-3.39, 2 Sc 3.62
6 Pm 0.5000 0.5000 0.0000  2 Sc 3.10
7 Pm 0.5135 0.3170 0.5000  3 Pm 3.29-3.47, 3 Tm 3.34-3.39, 2 Sc 3.62
8 Pm 0.6830 0.1830 0.1965  3 Pm 3.29-3.47, 3 Tm 3.34-3.39, 2 Sc 3.62
9 Pm 0.8170 0.0135 0.5000  3 Pm 3.29-3.47, 3 Tm 3.34-3.39, 2 Sc 3.62
10 Pm 0.9865 0.4865 0.8035  3 Pm 3.29-3.47, 3 Tm 3.34-3.39, 2 Sc 3.62
11 Tm 0.1436 0.3564 0.5000  8 Pm 3.34-3.51, 1 Tm 3.71
12 Tm 0.3564 0.8564 0.2128  8 Pm 3.34-3.51, 1 Tm 3.71
13 Tm 0.6436 0.1436 0.7872  8 Pm 3.34-3.51, 1 Tm 3.71
14 Tm 0.8564 0.6436 0.5000  8 Pm 3.34-3.51, 1 Tm 3.71
15 Sc 0.2500 0.2500 0.0000  2 Pm 3.10
16 Sc 0.7500 0.7500 0.0000  2 Pm 3.10

Calculated values
* ΔH_f (0 K): 0.12 eV/atom